## Tb5Pr12Dy (PBE-GGA)

Data for a relaxed structure of Tb5Pr12Dy.

Geometry as CIF:
```
data_Tb5Pr12Dy
_cell_length_a 15.5145
_cell_length_b 15.5608
_cell_length_c 5.1910
_cell_angle_alpha 90.00
_cell_angle_beta 90.00
_cell_angle_gamma 90.00
_space_group_name_H-M_alt 'C m m m'
_space_group_IT_number 65
_space_group_name_Hall '-C 2 2'
loop_
_atom_site_label
_atom_site_fract_x
_atom_site_fract_y
_atom_site_fract_z
Tb1 0.0000 0.0000 0.0000
Tb2 0.0000 0.1664 0.5000
Tb3 0.0000 0.3332 0.0000
Pr1 0.1644 0.5000 0.0000
Pr2 0.1651 0.0000 0.5000
Pr3 0.1649 0.1666 0.0000
Pr4 0.1646 0.3333 0.5000
Dy1 0.0000 0.5000 0.5000
```

Values from the calculation:
The formation energy is 19 meV per atom. As for the total magnetization: 0.000 μB per atom. The total energy is -4.709 eV/atom. The density of states at the Fermi level comes out at 1.6153 states/eV/atom.